1.
Pa2Pt3Pb (PBE, relaxed); formation energy from the elements = -2.69 eV per formula unit
1.0
8.225 0.000 4.749
2.742 7.755 4.749
0.000 0.000 9.498
Pa Pt Pb
8 12 4
Direct
0.747 0.260 0.747 Pa
0.253 0.253 0.253 Pa
0.253 0.253 0.740 Pa
0.260 0.747 0.747 Pa
0.747 0.747 0.260 Pa
0.747 0.747 0.747 Pa
0.740 0.253 0.253 Pa
0.253 0.740 0.253 Pa
0.134 0.616 0.616 Pt
0.866 0.384 0.866 Pt
0.384 0.384 0.866 Pt
0.616 0.134 0.134 Pt
0.134 0.134 0.616 Pt
0.134 0.616 0.134 Pt
0.616 0.616 0.134 Pt
0.616 0.134 0.616 Pt
0.866 0.866 0.384 Pt
0.384 0.866 0.384 Pt
0.866 0.384 0.384 Pt
0.384 0.866 0.866 Pt
0.500 0.000 0.000 Pb
0.000 0.000 0.000 Pb
0.000 0.500 0.000 Pb
0.000 0.000 0.500 Pb



2.
PaPt2Pb (PBE, relaxed); excess energy over the best structure of this formula in the dataset = 0.007 eV per atom; formation energy from the elements = -2.44 eV per formula unit
1.0
-2.554 -1.645 -1.718
2.370 -1.970 -1.637
-0.416 -4.973 5.382
Pb Pt Pa
1 2 1
Direct
0.500 0.500 0.500 Pb
0.000 0.000 0.782 Pt
0.000 0.000 0.218 Pt
0.500 0.500 0.000 Pa



3.
PaPtPb2 (PBE, relaxed); formation energy from the elements = 0.94 eV per formula unit
1.0
3.319 0.000 0.000
1.659 2.874 0.000
1.659 0.958 10.764
Pb Pa Pt
2 1 1
Direct
0.900 0.900 0.300 Pb
0.100 0.100 0.700 Pb
0.000 0.000 0.000 Pa
0.500 0.500 0.500 Pt



4.
PaPt2Pb (PBE, relaxed); excess energy over the best structure of this formula in the dataset = 0.006 eV per atom; formation energy from the elements = -2.44 eV per formula unit
1.0
4.048 0.000 0.000
2.024 3.505 0.000
2.024 1.168 6.725
Pb Pt Pa
1 2 1
Direct
0.500 0.500 0.500 Pb
0.746 0.746 0.763 Pt
0.254 0.254 0.237 Pt
0.000 0.000 0.000 Pa



5.
PaPt4Pb (PBE, relaxed); formation energy from the elements = -3.63 eV per formula unit
1.0
-4.385 1.161 3.026
-3.130 -4.029 1.922
-0.011 -1.136 5.333
Pt Pb Pa
4 1 1
Direct
0.625 0.625 0.625 Pt
0.625 0.625 0.125 Pt
0.625 0.125 0.625 Pt
0.125 0.625 0.625 Pt
0.250 0.250 0.250 Pb
0.000 0.000 0.000 Pa



6.
PaPt2Pb (PBE, relaxed); excess energy over the best structure of this formula in the dataset = 0.000 eV per atom; formation energy from the elements = -2.47 eV per formula unit
1.0
4.930 0.000 0.000
2.465 4.269 0.000
2.465 1.423 4.025
Pa Pb Pt
1 1 2
Direct
0.000 0.000 0.000 Pa
0.500 0.500 0.500 Pb
0.250 0.250 0.250 Pt
0.750 0.750 0.750 Pt



7.
Pa2Pt9Pb (PBE, relaxed); formation energy from the elements = -8.33 eV per formula unit
1.0
4.181 0.000 0.000
0.000 4.181 0.000
0.000 0.000 12.446
Pt Pb Pa
9 1 2
Direct
0.000 0.500 0.174 Pt
0.500 0.500 0.000 Pt
0.000 0.500 0.826 Pt
0.500 0.000 0.174 Pt
0.500 0.500 0.335 Pt
0.500 0.000 0.500 Pt
0.000 0.500 0.500 Pt
0.500 0.000 0.826 Pt
0.500 0.500 0.665 Pt
0.000 0.000 0.000 Pb
0.000 0.000 0.670 Pa
0.000 0.000 0.330 Pa



8.
Pu6PaPb5 (PBE, relaxed); formation energy from the elements = -0.93 eV per formula unit
1.0
-3.700 2.698 1.644
-2.896 -7.121 5.171
2.329 3.690 6.387
Pu Pb Pa
6 5 1
Direct
0.833 0.759 0.334 Pu
0.167 0.759 0.666 Pu
0.833 0.241 0.334 Pu
0.500 0.254 0.000 Pu
0.167 0.241 0.666 Pu
0.500 0.746 0.000 Pu
0.330 0.500 0.340 Pb
0.345 0.000 0.309 Pb
0.655 0.000 0.691 Pb
0.000 0.500 0.000 Pb
0.670 0.500 0.660 Pb
0.000 0.000 0.000 Pa



Number 1: density of states at the Fermi level 1.049 states/eV per atom, magnetization 0.0 μB/f.u.. Number 2: density of states at the Fermi level 1.146 states/eV per atom, magnetization 0.0 μB/f.u.. Number 3: density of states at the Fermi level 1.192 states/eV per atom, magnetization 0.2 μB/f.u.. Number 4: density of states at the Fermi level 1.017 states/eV per atom, magnetization 0.0 μB/f.u.. Number 5: density of states at the Fermi level 1.176 states/eV per atom, magnetization 0.5 μB/f.u.. Number 6: density of states at the Fermi level 1.343 states/eV per atom, magnetization 0.0 μB/f.u.. Number 7: density of states at the Fermi level 0.793 states/eV per atom, magnetization 0.0 μB/f.u.. Number 8: density of states at the Fermi level 2.937 states/eV per atom, magnetization 36.7 μB/f.u..